DFT (GGA+U) results for a geometry-optimized CoPb3O5 structure.

Values from the calculation:
SG   No. 4

```
CoPb3O5
1.0
5.2656 0.0000 0.0000
0.0000 10.2994 0.0000
-0.3095 0.0000 5.4412
Co Pb O
2 6 10
Direct
0.0093 0.0000 0.4609
0.9907 0.5000 0.5391
0.0279 0.2530 0.9686
0.4955 0.2325 0.4979
0.4976 0.9974 0.9815
0.5024 0.4974 0.0185
0.5045 0.7325 0.5021
0.9721 0.7530 0.0314
0.0698 0.8305 0.4916
0.1464 0.0618 0.1876
0.1747 0.0919 0.7028
0.3294 0.5283 0.5727
0.3820 0.7060 0.0847
0.6180 0.2060 0.9153
0.6706 0.0283 0.4273
0.8253 0.5919 0.2972
0.8536 0.5618 0.8124
0.9302 0.3305 0.5084
```

***

DFT (GGA+U) results for a geometry-optimized Co3Pd4PbO12 structure.

Values from the calculation:
SG   No. 204

```
Co3Pd4PbO12
1.0
-3.7828 3.7828 3.7828
3.7828 -3.7828 3.7828
3.7828 3.7828 -3.7828
Co Pd Pb O
3 4 1 12
Direct
0.0000 0.5000 0.5000
0.5000 0.0000 0.5000
0.5000 0.5000 0.0000
0.0000 0.0000 0.5000
0.0000 0.5000 0.0000
0.5000 0.0000 0.0000
0.5000 0.5000 0.5000
0.0000 0.0000 0.0000
0.1486 0.3212 0.8273
0.1727 0.4939 0.3212
0.1727 0.8514 0.6788
0.3212 0.1727 0.4939
0.3212 0.8273 0.1486
0.4939 0.3212 0.1727
0.5061 0.6788 0.8273
0.6788 0.1727 0.8514
0.6788 0.8273 0.5061
0.8273 0.1486 0.3212
0.8273 0.5061 0.6788
0.8514 0.6788 0.1727
```

***

DFT (GGA+U) results for a geometry-optimized PrCoPb2O6 structure.

Values from the calculation:
SG   No. 139

```
PrCoPb2O6
1.0
-2.9215 2.9215 4.0519
2.9215 -2.9215 4.0519
2.9215 2.9215 -4.0519
Pr Co Pb O
1 1 2 6
Direct
0.0000 0.0000 0.0000
0.5000 0.5000 0.0000
0.2500 0.7500 0.5000
0.7500 0.2500 0.5000
0.2745 0.2745 0.5491
0.2745 0.7255 0.0000
0.2812 0.2812 0.0000
0.7188 0.7188 0.0000
0.7255 0.2745 0.0000
0.7255 0.7255 0.4509
```

***

DFT (GGA+U) results for a geometry-optimized Co3Pt4PbO12 structure.

Values from the calculation:
SG   No. 204

```
Co3Pt4PbO12
1.0
-3.8016 3.8016 3.8016
3.8016 -3.8016 3.8016
3.8016 3.8016 -3.8016
Co Pt Pb O
3 4 1 12
Direct
0.0000 0.5000 0.5000
0.5000 0.0000 0.5000
0.5000 0.5000 0.0000
0.0000 0.0000 0.5000
0.0000 0.5000 0.0000
0.5000 0.0000 0.0000
0.5000 0.5000 0.5000
0.0000 0.0000 0.0000
0.1373 0.3159 0.8213
0.1787 0.4946 0.3159
0.1787 0.8627 0.6841
0.3159 0.1787 0.4946
0.3159 0.8213 0.1373
0.4946 0.3159 0.1787
0.5054 0.6841 0.8213
0.6841 0.1787 0.8627
0.6841 0.8213 0.5054
0.8213 0.1373 0.3159
0.8213 0.5054 0.6841
0.8627 0.6841 0.1787
```

***

DFT (GGA+U) results for a geometry-optimized CoPb2SO6 structure.

Values from the calculation:
SG   No. 12

```
CoPb2SO6
1.0
4.6872 -2.7008 0.0000
4.6872 2.7008 0.0000
-3.1162 0.0000 4.4423
Co Pb S O
1 2 1 6
Direct
0.0000 0.0000 0.0000
0.2500 0.2500 0.7493
0.7500 0.7500 0.2507
0.5000 0.5000 0.5000
0.2645 0.7115 0.7104
0.2791 0.2791 0.2585
0.2885 0.7355 0.2896
0.7115 0.2645 0.7104
0.7209 0.7209 0.7415
0.7355 0.2885 0.2896
```

***

DFT (GGA+U) results for a geometry-optimized Sm2CoPbO6 structure.

Values from the calculation:
SG   No. 14

```
Sm2CoPbO6
1.0
5.5237 0.0000 0.0000
0.0000 5.8785 0.0000
-5.4005 0.0000 7.9577
Sm Co Pb O
4 2 2 12
Direct
0.2265 0.0713 0.2496
0.2265 0.4287 0.7496
0.7735 0.5713 0.2504
0.7735 0.9287 0.7504
0.0000 0.0000 0.5000
0.0000 0.5000 0.0000
0.5000 0.0000 0.0000
0.5000 0.5000 0.5000
0.1160 0.1968 0.9347
0.1160 0.3032 0.4347
0.2448 0.6878 0.9366
0.2448 0.8122 0.4366
0.3724 0.0512 0.7429
0.3724 0.4488 0.2429
0.6276 0.5512 0.7571
0.6276 0.9488 0.2571
0.7552 0.1878 0.5634
0.7552 0.3122 0.0634
0.8840 0.6968 0.5653
0.8840 0.8032 0.0653
```

***

DFT (GGA+U) results for a geometry-optimized CoSnPb2O6 structure.

Values from the calculation:
SG   No. 148

```
CoSnPb2O6
1.0
2.8374 1.6381 4.5729
-2.8374 1.6381 4.5729
0.0000 -3.2763 4.5729
Co Sn Pb O
1 1 2 6
Direct
0.0000 0.0000 0.0000
0.5000 0.5000 0.5000
0.2539 0.2539 0.2539
0.7461 0.7461 0.7461
0.1574 0.7479 0.3383
0.2521 0.6617 0.8426
0.3383 0.1574 0.7479
0.6617 0.8426 0.2521
0.7479 0.3383 0.1574
0.8426 0.2521 0.6617
```

***

DFT (GGA+U) results for a geometry-optimized SrCo3Pb4O12 structure.

Values from the calculation:
SG   No. 204

```
SrCo3Pb4O12
1.0
-4.0173 4.0173 4.0173
4.0173 -4.0173 4.0173
4.0173 4.0173 -4.0173
Sr Co Pb O
1 3 4 12
Direct
0.0000 0.0000 0.0000
0.0000 0.5000 0.5000
0.5000 0.0000 0.5000
0.5000 0.5000 0.0000
0.0000 0.0000 0.5000
0.0000 0.5000 0.0000
0.5000 0.0000 0.0000
0.5000 0.5000 0.5000
0.1494 0.8342 0.3152
0.1658 0.3152 0.4810
0.1658 0.6848 0.8506
0.3152 0.1494 0.8342
0.3152 0.4810 0.1658
0.4810 0.1658 0.3152
0.5190 0.8342 0.6848
0.6848 0.5190 0.8342
0.6848 0.8506 0.1658
0.8342 0.3152 0.1494
0.8342 0.6848 0.5190
0.8506 0.1658 0.6848
```

***

Calculated V (A^3/atom), listed in the same order as above: 16.4 10.8 13.8 11.0 11.2 12.9 12.8 13.0
Calculated energy (eV/atom), listed in the same order as above: -5.51 -5.55 -5.99 -5.77 -5.48 -6.96 -5.69 -5.63
Calculated spin magnetization (μB/f.u.), listed in the same order as above: 5.00 7.71 1.99 8.99 3.00 3.00 4.19 8.92